Material: HfInAu2
Method: DFT, PBE
State: optimized geometry

Cell lengths 3.2197, 3.2197, 7.7643 Å; angles 90.00, 90.00, 90.00 degrees
Space group P4/mmm (No. 123)
Symmetry-distinct sites (fractional):
Hf 0.0000 0.0000 0.0000 (multiplicity 1)
In 0.0000 0.0000 0.5000 (multiplicity 1)
Au 0.5000 0.5000 0.2356 (multiplicity 2)

Results
E_form	-0.351	eV/atom
total magnetic moment	0.00	Bohr magnetons per cell
raw total energy	-5.163	eV/atom

Material: KLaBr2
Method: DFT, PBE
State: optimized geometry

Cell lengths 16.7683, 4.1286, 4.1835 Å; angles 90.00, 91.94, 90.00 degrees
Space group Cm (No. 8)
Symmetry-distinct sites (fractional):
K 0.0000 0.0000 0.0000 (multiplicity 2)
La 0.2607 0.5000 0.4680 (multiplicity 2)
Br 0.1983 0.0000 0.9595 (multiplicity 2)
Br 0.4001 0.0000 0.4872 (multiplicity 2)

Results
energy relative to the lowest polymorph listed for this composition	152	meV/atom
formation energy without anion corrections	-1278	meV/atom
total magnetic moment	0.35	Bohr magnetons per cell
raw total energy	-3.621	eV/atom

Material: NaBi5O8
Method: DFT, PBE
State: optimized geometry

Cell lengths 7.5116, 7.7945, 10.0597 Å; angles 69.99, 74.53, 79.23 degrees
Space group P-1 (No. 2)
Symmetry-distinct sites (fractional):
Na 0.2359 0.3966 0.4866 (multiplicity 2)
Bi 0.0242 0.8507 0.2036 (multiplicity 2)
Bi 0.0468 0.4090 0.1817 (multiplicity 2)
Bi 0.2528 0.9290 0.4449 (multiplicity 2)
Bi 0.3880 0.2410 0.8598 (multiplicity 2)
Bi 0.4503 0.6981 0.8354 (multiplicity 2)
O 0.0138 0.0548 0.6062 (multiplicity 2)
O 0.0401 0.5705 0.3269 (multiplicity 2)
O 0.0557 0.3300 0.9548 (multiplicity 2)
O 0.2888 0.1495 0.7201 (multiplicity 2)
O 0.3073 0.2060 0.3380 (multiplicity 2)
O 0.3280 0.4745 0.0661 (multiplicity 2)
O 0.3277 0.8589 0.2405 (multiplicity 2)
O 0.4087 0.5250 0.7237 (multiplicity 2)

Results
energy relative to the lowest polymorph listed for this composition	0	meV/atom
formation energy without anion corrections	-1239	meV/atom
total magnetic moment	0.00	Bohr magnetons per cell
raw total energy	-5.553	eV/atom

Material: LiMnSi
Method: DFT, PBE
State: optimized geometry

Cell lengths 4.2263, 3.9840, 4.5314 Å; angles 90.00, 117.56, 90.00 degrees
Space group P2_1/m (No. 11)
Symmetry-distinct sites (fractional):
Li 0.0883 0.2500 0.1636 (multiplicity 2)
Mn 0.4329 0.2500 0.8555 (multiplicity 2)
Si 0.2418 0.7500 0.5002 (multiplicity 2)

Results
formation energy without anion corrections	-106	meV/atom
total magnetic moment	0.00	Bohr magnetons per cell
raw total energy	-5.608	eV/atom

Material: LaCdSnPt3
Method: DFT, PBE
State: optimized geometry

Cell lengths 5.8779, 12.3853, 7.5736 Å; angles 90.00, 90.00, 90.00 degrees
Space group Cmcm (No. 63)
Symmetry-distinct sites (fractional):
La 0.0000 0.1558 0.2500 (multiplicity 4)
Cd 0.0000 0.4132 0.2500 (multiplicity 4)
Sn 0.0000 0.1330 0.7500 (multiplicity 4)
Pt 0.0000 0.3468 0.7500 (multiplicity 4)
Pt 0.2352 0.0000 0.0000 (multiplicity 8)

Results
E_form	-0.523	eV/atom
total magnetic moment	0.00	Bohr magnetons per cell
raw total energy	-5.184	eV/atom